(1)
VASP calculation (PBE-GGA) on an optimized crystal structure of ErSiAu3.

Values from the calculation:
As for the total magnetization: 0.00 Bohr magnetons per cell. The raw formation energy comes out at -252 kJ/mol of formula units. As for the space group: Pnma (62).

Cell: 4.7045 9.0974 8.9844 Å, 90.00 90.00 90.00°
Fractional coordinates of all 20 atoms:
Au  0.2500  0.5728  0.0820
Au  0.2500  0.0728  0.4180
Au  0.7500  0.1147  0.8312
Au  0.7500  0.0948  0.1621
Au  0.7500  0.5948  0.3379
Au  0.2500  0.4052  0.6621
Au  0.7500  0.9272  0.5820
Au  0.2500  0.9052  0.8379
Au  0.7500  0.4272  0.9180
Au  0.7500  0.6147  0.6688
Au  0.2500  0.8853  0.1688
Au  0.2500  0.3853  0.3312
Si  0.2500  0.1303  0.6839
Si  0.2500  0.6303  0.8161
Si  0.7500  0.3697  0.1839
Si  0.7500  0.8697  0.3161
Er  0.7500  0.2709  0.5096
Er  0.2500  0.7291  0.4904
Er  0.2500  0.2291  0.0096
Er  0.7500  0.7709  0.9904

(2)
VASP calculation (PBE-GGA) on an optimized crystal structure of CsMoBr5.

Values from the calculation:
As for the total magnetization: 4.00 Bohr magnetons per cell. The raw formation energy comes out at -564 kJ/mol of formula units. As for the space group: C2/c (15).

Cell: 8.3094 8.3094 10.9558 Å, 84.95 117.52 120.46°
Site moments in Bohr magnetons follow the coordinates.
Fractional coordinates of all 14 atoms:
Br  0.7536  0.9252  0.0994  0.03
Br  0.6742  0.3458  0.5994  0.03
Br  0.1903  0.9148  0.5383  0.03
Br  0.6732  0.9232  0.7500  0.00
Br  0.8097  0.0852  0.4617  0.03
Br  0.3258  0.6542  0.4006  0.03
Br  0.2464  0.0748  0.9006  0.03
Br  0.3268  0.0768  0.2500  0.00
Br  0.1235  0.3480  0.0383  0.03
Br  0.8765  0.6520  0.9617  0.03
Cs  0.7590  0.5090  0.2500  0.00
Cs  0.2410  0.4910  0.7500  0.00
Mo  0.0000  0.0000  0.0000  1.65
Mo  0.5000  0.0000  0.5000  1.65

(3)
VASP calculation (PBE-GGA) on an optimized crystal structure of TbSmP.

Values from the calculation:
As for the total magnetization: 0.00 Bohr magnetons per cell. The calculation puts the energy of formation at -851 meV/atom. As for the space group: R-3m (166).

Cell: 4.7641 4.7641 8.2552 Å, 73.23 73.23 60.00°
Fractional coordinates of all 6 atoms:
P  0.2473  0.2473  0.2580
P  0.7527  0.7527  0.7420
Tb  0.1245  0.1245  0.6264
Tb  0.8755  0.8755  0.3736
Sm  0.6254  0.6254  0.1238
Sm  0.3746  0.3746  0.8762

(4)
VASP calculation (PBE-GGA) on an optimized crystal structure of ErMnCl5.

Values from the calculation:
As for the total magnetization: 10.00 Bohr magnetons per cell. The raw formation energy comes out at -1172 kJ/mol of formula units. As for the space group: C2/c (15).

Cell: 7.1376 7.1376 10.0922 Å, 111.11 111.11 88.32°
Site moments in Bohr magnetons follow the coordinates.
Fractional coordinates of all 14 atoms:
Cl  0.1702  0.6830  0.4628  0.04
Cl  0.8298  0.3170  0.5372  0.04
Cl  0.8307  0.9029  0.1619  0.04
Cl  0.4029  0.3307  0.6619  0.04
Cl  0.6804  0.8196  0.7500  0.00
Cl  0.5971  0.6693  0.3381  0.04
Cl  0.1693  0.0971  0.8381  0.04
Cl  0.3196  0.1804  0.2500  0.00
Cl  0.8170  0.3298  0.0372  0.04
Cl  0.1830  0.6702  0.9628  0.04
Mn  0.1327  0.3673  0.7500  4.36
Mn  0.8673  0.6327  0.2500  4.36
Er  0.0000  0.0000  0.0000  0.06
Er  0.5000  0.5000  0.5000  0.06

(5)
VASP calculation (PBE-GGA) on an optimized crystal structure of Be2AuBr.

Values from the calculation:
As for the total magnetization: 0.00 Bohr magnetons per cell. The raw formation energy comes out at 40 kJ/mol of formula units. As for the space group: Pmmm (47).

Cell: 3.0807 3.3277 6.2857 Å, 90.02 90.00 90.00°
Fractional coordinates of all 4 atoms:
Br  0.5000  0.2500  0.2500
Au  0.5000  0.7500  0.7500
Be  0.0000  0.2500  0.5697
Be  0.0000  0.2500  0.9303

(6)
VASP calculation (PBE-GGA) on an optimized crystal structure of NaTi2Cl.

Values from the calculation:
As for the total magnetization: 0.00 Bohr magnetons per cell. The raw formation energy comes out at 288 kJ/mol of formula units. As for the space group: Fm-3m (225).

Cell: 4.7263 4.7263 4.7263 Å, 60.00 60.00 60.00°
Fractional coordinates of all 4 atoms:
Na  0.0000  0.0000  0.0000
Cl  0.5000  0.5000  0.5000
Ti  0.2500  0.2500  0.2500
Ti  0.7500  0.7500  0.7500

(7)
VASP calculation (PBE-GGA) on an optimized crystal structure of Ca3LaSn.

Values from the calculation:
As for the total magnetization: 0.00 Bohr magnetons per cell. The calculation puts the energy of formation at 824 meV/atom. As for the space group: Pm-3m (221).

Cell: 5.7877 5.7877 5.7877 Å, 90.00 90.00 90.00°
Fractional coordinates of all 5 atoms:
Ca  0.0000  0.5000  0.0000
Ca  0.0000  0.0000  0.5000
Ca  0.5000  0.0000  0.0000
La  0.0000  0.0000  0.0000
Sn  0.5000  0.5000  0.5000

(8)
VASP calculation (PBE-GGA) on an optimized crystal structure of TlIrAu.

Values from the calculation:
As for the total magnetization: 0.00 Bohr magnetons per cell. The calculation puts the energy of formation at 558 meV/atom. As for the space group: Fmm2 (42).

Cell: 7.6729 7.3744 3.0177 Å, 84.05 72.92 23.03°
Fractional coordinates of all 3 atoms:
Tl  0.6719  0.6719  0.3281
Au  0.9940  0.9940  0.0060
Ir  0.3341  0.3341  0.6659

(9)
VASP calculation (PBE-GGA) on an optimized crystal structure of Sm2YTe.

Values from the calculation:
As for the total magnetization: 0.00 Bohr magnetons per cell. The raw formation energy comes out at -206 kJ/mol of formula units. As for the space group: R-3m (166).

Cell: 3.9298 3.9298 10.3174 Å, 79.02 79.02 60.00°
Fractional coordinates of all 4 atoms:
Sm  0.2616  0.2616  0.2153
Sm  0.7384  0.7384  0.7847
Y  0.5000  0.5000  0.5000
Te  0.0000  0.0000  0.0000

(10)
VASP calculation (PBE-GGA) on an optimized crystal structure of Tb4Se2S3.

Values from the calculation:
As for the total magnetization: 0.01 Bohr magnetons per cell. The raw formation energy comes out at -1616 kJ/mol of formula units. As for the space group: C2/m (12).

Cell: 3.7786 5.3826 11.5914 Å, 96.79 90.00 110.55°
Fractional coordinates of all 9 atoms:
S  0.3980  0.7961  0.5907
S  0.6020  0.2039  0.4093
S  0.0000  0.0000  0.0000
Se  0.3018  0.6036  0.2112
Se  0.6982  0.3964  0.7888
Tb  0.1232  0.2465  0.6075
Tb  0.8768  0.7535  0.3925
Tb  0.4202  0.8403  0.8386
Tb  0.5798  0.1597  0.1614

(11)
VASP calculation (PBE-GGA) on an optimized crystal structure of TeCS3.

Values from the calculation:
As for the total magnetization: 0.00 Bohr magnetons per cell. The raw formation energy comes out at 1030 kJ/mol of formula units. As for the space group: Pm-3m (221).

Cell: 5.0247 5.0247 5.0247 Å, 90.00 90.00 90.00°
Fractional coordinates of all 5 atoms:
S  0.0000  0.0000  0.5000
S  0.0000  0.5000  0.0000
S  0.5000  0.0000  0.0000
Te  0.0000  0.0000  0.0000
C  0.5000  0.5000  0.5000

(12)
VASP calculation (PBE-GGA) on an optimized crystal structure of KNaZn2Br6.

Values from the calculation:
As for the total magnetization: 0.00 Bohr magnetons per cell. The raw formation energy comes out at -1138 kJ/mol of formula units. As for the space group: C2/c (15).

Cell: 7.1622 9.8643 9.8643 Å, 90.03 83.12 83.12°
Fractional coordinates of all 20 atoms:
Br  0.8180  0.0245  0.2208
Br  0.4125  0.5825  0.7138
Br  0.5875  0.4175  0.2862
Br  0.9125  0.7138  0.5825
Br  0.6820  0.7792  0.9755
Br  0.1820  0.9755  0.7792
Br  0.0875  0.2862  0.4175
Br  0.6143  0.1571  0.5962
Br  0.3180  0.2208  0.0245
Br  0.8857  0.4038  0.8429
Br  0.3857  0.8429  0.4038
Br  0.1143  0.5962  0.1571
Na  0.7500  0.7050  0.2950
Na  0.2500  0.2950  0.7050
Zn  0.7294  0.6202  0.7852
Zn  0.2294  0.7852  0.6202
Zn  0.7706  0.2148  0.3798
Zn  0.2706  0.3798  0.2148
K  0.7500  0.1017  0.8983
K  0.2500  0.8983  0.1017

(13)
VASP calculation (PBE-GGA) on an optimized crystal structure of Tb2Pm8Cd.

Values from the calculation:
As for the total magnetization: 0.00 Bohr magnetons per cell. The calculation puts the energy of formation at -17 meV/atom. As for the space group: C2/m (12).

Cell: 5.1004 6.2461 12.7195 Å, 77.07 90.00 114.10°
Fractional coordinates of all 11 atoms:
Pm  0.5903  0.1805  0.3600
Pm  0.4097  0.8195  0.6400
Pm  0.8598  0.7196  0.4525
Pm  0.2453  0.4906  0.9120
Pm  0.7547  0.5094  0.0880
Pm  0.1402  0.2804  0.5475
Pm  0.0366  0.0731  0.1772
Pm  0.9634  0.9269  0.8228
Tb  0.3146  0.6291  0.2623
Tb  0.6854  0.3709  0.7377
Cd  0.5000  0.0000  0.0000

(14)
VASP calculation (PBE-GGA) on an optimized crystal structure of SrLa3Ir.

Values from the calculation:
As for the total magnetization: 0.00 Bohr magnetons per cell. The calculation puts the energy of formation at 628 meV/atom. As for the space group: P6_3/mmc (194).

Cell: 4.7565 4.7565 18.0934 Å, 90.00 90.00 120.00°
Fractional coordinates of all 10 atoms:
La  0.3333  0.6667  0.9301
La  0.6667  0.3333  0.0699
La  0.0000  0.0000  0.2500
La  0.6667  0.3333  0.4301
La  0.3333  0.6667  0.5699
La  0.0000  0.0000  0.7500
Ir  0.0000  0.0000  0.0000
Ir  0.0000  0.0000  0.5000
Sr  0.3333  0.6667  0.7500
Sr  0.6667  0.3333  0.2500

(15)
VASP calculation (PBE-GGA) on an optimized crystal structure of Ca4AlTl3.

Values from the calculation:
As for the total magnetization: 0.00 Bohr magnetons per cell. The calculation puts the energy of formation at -369 meV/atom. As for the space group: P4/mmm (123).

Cell: 3.8194 3.8194 15.6438 Å, 90.00 90.00 90.00°
Fractional coordinates of all 8 atoms:
Ca  0.0000  0.0000  0.3713
Ca  0.0000  0.0000  0.1161
Ca  0.0000  0.0000  0.8839
Ca  0.0000  0.0000  0.6287
Al  0.5000  0.5000  0.0000
Tl  0.5000  0.5000  0.7571
Tl  0.5000  0.5000  0.5000
Tl  0.5000  0.5000  0.2429

(16)
VASP calculation (PBE-GGA) on an optimized crystal structure of PrPaRuPt.

Values from the calculation:
As for the total magnetization: 0.22 Bohr magnetons per cell. The calculation puts the energy of formation at -472 meV/atom. As for the space group: F-43m (216).

Cell: 4.9783 4.9783 4.9783 Å, 60.00 60.00 60.00°
Site moments in Bohr magnetons follow the coordinates.
Fractional coordinates of all 4 atoms:
Pt  0.7500  0.7500  0.7500  0.00
Pr  0.5000  0.5000  0.5000  0.02
Ru  0.2500  0.2500  0.2500  -0.02
Pa  0.0000  0.0000  0.0000  0.18

(17)
VASP calculation (PBE-GGA) on an optimized crystal structure of HfBe3Cd.

Values from the calculation:
As for the total magnetization: 0.00 Bohr magnetons per cell. The calculation puts the energy of formation at 894 meV/atom. As for the space group: Pm-3m (221).

Cell: 4.2805 4.2805 4.2805 Å, 90.00 90.00 90.00°
Fractional coordinates of all 5 atoms:
Be  0.5000  0.0000  0.0000
Be  0.0000  0.0000  0.5000
Be  0.0000  0.5000  0.0000
Hf  0.5000  0.5000  0.5000
Cd  0.0000  0.0000  0.0000

(18)
VASP calculation (PBE-GGA) on an optimized crystal structure of Sm3Y5Ho4.

Values from the calculation:
As for the total magnetization: 0.00 Bohr magnetons per cell. The calculation puts the energy of formation at 20 meV/atom. As for the space group: P-1 (2).

Cell: 7.1424 11.2897 12.8648 Å, 151.30 56.35 129.29°
Fractional coordinates of all 12 atoms:
Sm  0.0000  0.0000  0.5000
Sm  0.5854  0.1677  0.3341
Sm  0.4146  0.8323  0.6659
Y  0.6659  0.3334  0.1675
Y  0.2508  0.4992  0.9992
Y  0.3341  0.6666  0.8325
Y  0.7492  0.5008  0.0008
Y  0.5000  0.0000  0.5000
Ho  0.9179  0.8340  0.6673
Ho  0.8352  0.6688  0.8339
Ho  0.1648  0.3312  0.1661
Ho  0.0821  0.1660  0.3327

(19)
VASP calculation (PBE-GGA) on an optimized crystal structure of Lu2ScCd.

Values from the calculation:
As for the total magnetization: 0.06 Bohr magnetons per cell. The calculation puts the energy of formation at -20 meV/atom. As for the space group: Fm-3m (225).

Cell: 5.2614 5.2614 5.2614 Å, 60.00 60.00 60.00°
Fractional coordinates of all 4 atoms:
Sc  0.5000  0.5000  0.5000
Lu  0.2500  0.2500  0.2500
Lu  0.7500  0.7500  0.7500
Cd  0.0000  0.0000  0.0000

(20)
VASP calculation (PBE-GGA) on an optimized crystal structure of MgTiB2Te.

Values from the calculation:
As for the total magnetization: 0.00 Bohr magnetons per cell. The raw formation energy comes out at 764 kJ/mol of formula units. As for the space group: P4/mmm (123).

Cell: 4.2277 4.2277 5.5253 Å, 90.00 90.00 90.00°
Fractional coordinates of all 5 atoms:
Ti  0.5000  0.5000  0.5000
B  0.0000  0.5000  0.0000
B  0.5000  0.0000  0.0000
Mg  0.0000  0.0000  0.0000
Te  0.0000  0.0000  0.5000

(21)
VASP calculation (PBE-GGA) on an optimized crystal structure of HS.

Values from the calculation:
As for the total magnetization: 0.00 Bohr magnetons per cell. The calculation puts the uncorrected energy at -20.5 eV/cell. As for the space group: Fm-3m (225).

Cell: 4.2533 4.2533 4.2533 Å, 90.00 90.00 90.00°
Fractional coordinates of all 8 atoms:
S  0.0000  0.0000  0.5000
S  0.5000  0.5000  0.5000
S  0.0000  0.5000  0.0000
S  0.5000  0.0000  0.0000
H  0.0000  0.5000  0.5000
H  0.0000  0.0000  0.0000
H  0.5000  0.0000  0.5000
H  0.5000  0.5000  0.0000